DFT (PBE) results for a relaxed K3NaMn2Br9 crystal.

a b c (Å): 7.553 7.553 9.566
angles (deg): 90.00 90.00 120.00
Site moments in Bohr magnetons follow the coordinates.
Positions (direct):
Mn 0.333 0.667 0.167  4.06
Br 0.500 0.500 0.000  0.00
Br 0.000 0.500 0.000  0.00
Br 0.500 0.000 0.000  0.00
Br 0.171 0.342 0.312  0.03
Br 0.829 0.658 0.688  0.03
Mn 0.667 0.333 0.833  4.06
K 0.667 0.333 0.314  0.00
Br 0.342 0.171 0.688  0.03
Br 0.171 0.829 0.312  0.03
K 0.333 0.667 0.686  0.00
Br 0.658 0.829 0.312  0.03
K 0.000 0.000 0.000  0.00
Br 0.829 0.171 0.688  0.03
Na 0.000 0.000 0.500  0.01

Summary:
Formation energy without anion corrections (eV/f.u.): -18.20

DFT (PBE) results for a relaxed K2NaMnBr crystal.

a b c (Å): 7.003 5.230 7.003
angles (deg): 90.00 90.00 90.00
Site moments in Bohr magnetons follow the coordinates.
Positions (direct):
Br 0.000 0.500 0.000  0.00
Mn 0.500 0.500 0.500  4.40
Na 0.000 0.000 0.000  0.00
K 0.000 0.000 0.500  0.00
K 0.500 0.000 0.000  0.00

Summary:
Formation energy without anion corrections (eV/f.u.): 1.07

DFT (PBE) results for a relaxed KNaMn2Br6 crystal.

a b c (Å): 7.424 9.848 9.848
angles (deg): 89.13 82.78 82.78
Site moments in Bohr magnetons follow the coordinates.
Positions (direct):
Br 0.891 0.398 0.844  0.06
Na 0.250 0.283 0.717  0.00
Mn 0.720 0.615 0.781  4.36
Br 0.905 0.715 0.574  0.07
Br 0.391 0.844 0.398  0.06
Mn 0.220 0.781 0.615  4.36
Br 0.109 0.602 0.156  0.06
Br 0.405 0.574 0.715  0.07
K 0.750 0.099 0.901  0.00
Br 0.609 0.156 0.602  0.06
Br 0.831 0.023 0.222  0.05
Na 0.750 0.717 0.283  0.00
Mn 0.280 0.385 0.219  4.36
Br 0.095 0.285 0.426  0.07
Br 0.169 0.977 0.778  0.05
Br 0.595 0.426 0.285  0.07
Br 0.669 0.778 0.977  0.05
Br 0.331 0.222 0.023  0.05
Mn 0.780 0.219 0.385  4.36
K 0.250 0.901 0.099  0.00

Summary:
Formation energy without anion corrections (eV/f.u.): -11.14

DFT (PBE) results for a relaxed KNaMn2Br8 crystal.

a b c (Å): 7.000 7.000 9.890
angles (deg): 90.00 90.00 120.00
Site moments in Bohr magnetons follow the coordinates.
Positions (direct):
Br 0.676 0.008 0.304  0.00
Na 0.000 0.000 0.500  0.00
Br 0.667 0.333 0.003  -0.01
Br 0.324 0.992 0.696  0.00
Mn 0.667 0.333 0.241  3.68
Br 0.333 0.324 0.304  0.00
Br 0.008 0.333 0.696  0.00
Br 0.992 0.667 0.304  0.00
Mn 0.333 0.667 0.759  3.68
Br 0.333 0.667 0.997  -0.01
K 0.000 0.000 0.000  0.00
Br 0.667 0.676 0.696  0.00

Summary:
Formation energy without anion corrections (eV/f.u.): -10.98

Q: Which formula does entry 4 have?
A: KNaMn2Br8